A plane-wave DFT calculation with GGA-PBE was carried out for an optimized crystal structure of CaTa2Cl.

Properties
Space-group type ... Imm2
Volume ... 23.021 A^3/atom
DFT total energy ... -6.426 eV per atom
Crystal system ... orthorhombic

Cell lengths 6.002, 6.002, 6.002 Å; angles 150.26, 119.64, 68.73 degrees
Each line ends with the local moment (μB).
Atoms (fractional coordinates):
Ta (0.794, 0.294, 0.500)  0.35
Ta (0.015, 0.015, 0.000)  -0.06
Cl (0.225, 0.725, 0.500)  0.01
Ca (0.467, 0.467, 0.000)  0.01

=====

A plane-wave DFT calculation with GGA-PBE was carried out for an optimized crystal structure of CaTa2Cl.

Properties
Space-group type ... Cm
Volume ... 21.948 A^3/atom
DFT total energy ... -6.709 eV per atom
Crystal system ... monoclinic

Cell lengths 5.059, 5.059, 6.439 Å; angles 68.00, 68.00, 35.41 degrees
Each line ends with the local moment (μB).
Atoms (fractional coordinates):
Cl (0.316, 0.316, 0.296)  0.01
Ta (0.698, 0.698, 0.834)  0.32
Ta (0.937, 0.937, 0.937)  0.00
Ca (0.549, 0.549, 0.434)  0.02

=====

A plane-wave DFT calculation with GGA-PBE was carried out for an optimized crystal structure of CaTaCl2.

Properties
Space-group type ... I-4m2
Volume ... 22.593 A^3/atom
DFT total energy ... -4.488 eV per atom
Crystal system ... tetragonal

Cell lengths 7.015, 7.015, 7.015 Å; angles 149.18, 149.18, 44.15 degrees
Each line ends with the local moment (μB).
Atoms (fractional coordinates):
Ta (0.500, 0.500, 0.000)  0.35
Cl (0.000, 0.000, 0.000)  0.00
Cl (0.250, 0.750, 0.500)  0.01
Ca (0.750, 0.250, 0.500)  0.00

=====

A plane-wave DFT calculation with GGA-PBE was carried out for an optimized crystal structure of CaTaCl2.

Properties
Space-group type ... Pmmm
Volume ... 21.770 A^3/atom
DFT total energy ... -4.724 eV per atom
Crystal system ... orthorhombic

Cell lengths 3.106, 6.342, 4.421 Å; angles 90.00, 90.00, 90.00 degrees
Atoms (fractional coordinates):
Ta (0.500, 0.000, 0.500)
Cl (0.500, 0.500, 0.000)
Cl (0.000, 0.000, 0.000)
Ca (0.000, 0.500, 0.500)